## CsLa2AuO5 (PBE)

Data for a geometry-optimized CsLa2AuO5 structure.

The calculation puts the density at 7.27 g/cm³. The formation energy from raw total energies comes out at -2.010 eV per atom.

The space group is I4/mcm (No. 140) and the conventional cell measures 7.0501, 7.0501 and 12.6466 Å, with angles of 90.00, 90.00 and 90.00 degrees. The inequivalent atoms are Cs at (0.0000, 0.0000, 0.2500), La at (0.1784, 0.3216, 0.0000), Au at (0.0000, 0.5000, 0.2500), O at (0.0000, 0.0000, 0.0000) and O at (0.1298, 0.3703, 0.3853).